# K2PrW3O12

An optimized crystal structure of K2PrW3O12 (PBE with a Hubbard U, Alexandria).

```
data_K2PrW3O12
_cell_length_a 7.5593
_cell_length_b 7.5593
_cell_length_c 19.0650
_cell_angle_alpha 90.00
_cell_angle_beta 90.00
_cell_angle_gamma 120.00
_space_group_name_H-M_alt 'R -3 m'
_space_group_IT_number 166
_space_group_name_Hall '-R 3 2"'
loop_
_atom_site_label
_atom_site_fract_x
_atom_site_fract_y
_atom_site_fract_z
K1 0.0000 0.0000 0.1526
Pr1 0.0000 0.0000 0.5000
W1 0.0000 0.5000 0.0000
O1 0.0239 0.5120 0.0998
O2 0.0914 0.5457 0.3392
```

magnetization: 0.050 μB per atom
V: 17.47 Å³ per atom
density: 5.1 g cm⁻³
D(E_F): 31.3 states/eV per cell
E: -0.25782 Ha/atom